# 1
A plane-wave DFT calculation with PBE was carried out for a relaxed structure of Ca2Ac2Pr.

a = 4.792 Å, b = 4.792 Å, c = 19.298 Å
α = 90.00°, β = 90.00°, γ = 90.00°
Space group I4/mmm (No. 139)
Symmetry-distinct sites (fractional):
Ca: 0.000 0.500 0.250 x4
Ac: 0.000 0.000 0.092 x4
Pr: 0.000 0.000 0.500 x2

Summary:
Density in g cm⁻³: 5.1
Calculated formation energy in eV per atom: 0.339
Raw total energy in eV per atom: -3.06

# 2
A plane-wave DFT calculation with PBE was carried out for a relaxed structure of RbIn12Au7.

a = 9.959 Å, b = 14.368 Å, c = 8.258 Å
α = 90.00°, β = 123.67°, γ = 90.00°
Space group C2/m (No. 12)
Symmetry-distinct sites (fractional):
Rb: 0.000 0.000 0.000 x2
In: 0.000 0.257 0.000 x4
In: 0.116 0.371 0.743 x8
In: 0.163 0.162 0.471 x8
In: 0.176 0.500 0.145 x4
Au: 0.000 0.000 0.500 x2
Au: 0.154 0.500 0.486 x4
Au: 0.172 0.172 0.834 x8

Summary:
Density in g cm⁻³: 9.6
Calculated formation energy in eV per atom: -0.152
Raw total energy in eV per atom: -2.99

# 3
A plane-wave DFT calculation with PBE was carried out for a relaxed structure of Tm5In2Ir2Au.

a = 11.588 Å, b = 11.588 Å, c = 3.597 Å
α = 90.00°, β = 90.00°, γ = 90.00°
Space group P4/mbm (No. 127)
Symmetry-distinct sites (fractional):
Tm: 0.000 0.500 0.000 x2
Tm: 0.075 0.200 0.000 x8
In: 0.173 0.673 0.500 x4
Ir: 0.135 0.365 0.500 x4
Au: 0.000 0.000 0.500 x2

Summary:
Density in g cm⁻³: 11.4
Calculated formation energy in eV per atom: -0.700
Raw total energy in eV per atom: -5.58

# 4
A plane-wave DFT calculation with PBE was carried out for a relaxed structure of CrFeS3.

a = 4.468 Å, b = 4.468 Å, c = 4.468 Å
α = 90.00°, β = 90.00°, γ = 90.00°
Space group Pm-3m (No. 221)
Symmetry-distinct sites (fractional):
Cr: 0.000 0.000 0.000 x1
Fe: 0.500 0.500 0.500 x1
S: 0.000 0.000 0.500 x3

Summary:
Density in g cm⁻³: 3.8
Raw total energy in eV per atom: -5.31
E_form (uncorrected) in meV/atom: 782

# 5
A plane-wave DFT calculation with PBE was carried out for a relaxed structure of AcCe5Pb5.

a = 14.359 Å, b = 6.536 Å, c = 9.268 Å
α = 90.00°, β = 108.21°, γ = 90.00°
Space group C2/m (No. 12)
Symmetry-distinct sites (fractional):
Ac: 0.000 0.000 0.000 x2
Ce: 0.000 0.000 0.500 x2
Ce: 0.158 0.500 0.335 x4
Ce: 0.170 0.500 0.838 x4
Pb: 0.000 0.500 0.000 x2
Pb: 0.172 0.000 0.349 x4
Pb: 0.174 0.000 0.820 x4

Summary:
Density in g cm⁻³: 7.9
Calculated formation energy in eV per atom: -0.163
Raw total energy in eV per atom: -4.92

# 6
A plane-wave DFT calculation with PBE was carried out for a relaxed structure of MnHg2Os.

a = 7.464 Å, b = 7.464 Å, c = 5.609 Å
α = 90.00°, β = 90.00°, γ = 90.00°
Space group I-42d (No. 122)
Symmetry-distinct sites (fractional):
Mn: 0.000 0.000 0.000 x4
Hg: 0.249 0.250 0.125 x8
Os: 0.000 0.000 0.500 x4

Summary:
Density in g cm⁻³: 13.7
Calculated formation energy in eV per atom: 1.015
Raw total energy in eV per atom: -4.24

# 7
A plane-wave DFT calculation with PBE was carried out for a relaxed structure of Cu3Pd5Au.

a = 7.5978 Å, b = 7.5978 Å, c = 5.3345 Å
α = 90.00°, β = 90.00°, γ = 120.00°
Space group P6_3/mcm (No. 193)
Symmetry-distinct sites (fractional):
Cu: 0.0000 0.3358 0.2500 x6
Pd: 0.0000 0.3350 0.7500 x6
Pd: 0.3333 0.6667 0.0000 x4
Au: 0.0000 0.0000 0.0000 x2

Summary:
Density in g cm⁻³: 11.5
Calculated formation energy in eV per atom: -0.029
Raw total energy in eV per atom: -4.64

# 8
A plane-wave DFT calculation with PBE was carried out for a relaxed structure of Ag2TeOsSe.

a = 5.029 Å, b = 5.029 Å, c = 4.628 Å
α = 90.00°, β = 90.00°, γ = 90.00°
Space group P4/mmm (No. 123)
Symmetry-distinct sites (fractional):
Ag: 0.000 0.500 0.000 x2
Te: 0.000 0.000 0.500 x1
Os: 0.500 0.500 0.500 x1
Se: 0.500 0.500 0.000 x1

Summary:
Density in g cm⁻³: 8.7
Raw total energy in eV per atom: -3.81
E_form (uncorrected) in meV/atom: 899

Which of these has the lowest density?
CrFeS3

Which of these has the highest raw total energy?
RbIn12Au7

The highest raw total energy belongs to which entry?
RbIn12Au7